# Re5Si4, relaxed, DFT GGA-PBE
data_Re5Si4
_cell_length_a 7.6360
_cell_length_b 7.6360
_cell_length_c 4.9243
_cell_angle_alpha 90.00
_cell_angle_beta 90.00
_cell_angle_gamma 120.00
_space_group_name_H-M_alt 'P 63/m c m'
_space_group_IT_number 193
_space_group_name_Hall '-P 6c 2'
loop_
_atom_site_label
_atom_site_type_symbol
_atom_site_fract_x
_atom_site_fract_y
_atom_site_fract_z
Re1 Re 0.0000 0.2878 0.2500
Re2 Re 0.3333 0.6667 0.0000
Si1 Si 0.0000 0.0000 0.0000
Si2 Si 0.0000 0.3847 0.7500
# * formation energy (no corrections): 62 meV/atom

***

# LiPuTlSn, relaxed, DFT GGA-PBE
data_LiPuTlSn
_cell_length_a 7.380
_cell_length_b 7.380
_cell_length_c 7.380
_cell_angle_alpha 90.00
_cell_angle_beta 90.00
_cell_angle_gamma 90.00
_space_group_name_H-M_alt 'F -4 3 m'
_space_group_IT_number 216
_space_group_name_Hall 'F -4 2 3'
loop_
_atom_site_label
_atom_site_type_symbol
_atom_site_fract_x
_atom_site_fract_y
_atom_site_fract_z
Li1 Li 0.000 0.000 0.000
Pu1 Pu 0.000 0.000 0.500
Tl1 Tl 0.250 0.250 0.250
Sn1 Sn 0.250 0.250 0.750
# * relative energy among the computed polymorphs: 0.028 eV/atom
# * formation enthalpy at 0 K: -0.9 eV/f.u.

***

# YPuAlAg, relaxed, DFT GGA-PBE
data_YPuAlAg
_cell_length_a 7.307
_cell_length_b 7.307
_cell_length_c 7.307
_cell_angle_alpha 90.00
_cell_angle_beta 90.00
_cell_angle_gamma 90.00
_space_group_name_H-M_alt 'F -4 3 m'
_space_group_IT_number 216
_space_group_name_Hall 'F -4 2 3'
loop_
_atom_site_label
_atom_site_type_symbol
_atom_site_fract_x
_atom_site_fract_y
_atom_site_fract_z
Y1 Y 0.000 0.000 0.000
Pu1 Pu 0.000 0.000 0.500
Al1 Al 0.250 0.250 0.250
Ag1 Ag 0.250 0.250 0.750
# * formation enthalpy at 0 K: -0.5 eV/f.u.

***

# LaMo2Os, relaxed, DFT GGA-PBE
data_LaMo2Os
_cell_length_a 6.635
_cell_length_b 6.635
_cell_length_c 6.635
_cell_angle_alpha 90.00
_cell_angle_beta 90.00
_cell_angle_gamma 90.00
_space_group_name_H-M_alt 'F -4 3 m'
_space_group_IT_number 216
_space_group_name_Hall 'F -4 2 3'
loop_
_atom_site_label
_atom_site_type_symbol
_atom_site_fract_x
_atom_site_fract_y
_atom_site_fract_z
La1 La 0.000 0.000 0.000
Mo1 Mo 0.000 0.000 0.500
Mo2 Mo 0.250 0.250 0.250
Os1 Os 0.250 0.250 0.750
# * relative energy among the computed polymorphs: 0.109 eV/atom
# * formation enthalpy at 0 K: 1.9 eV/f.u.

***

# Pm2ThI, relaxed, DFT GGA-PBE
data_Pm2ThI
_cell_length_a 3.731
_cell_length_b 3.731
_cell_length_c 9.660
_cell_angle_alpha 90.00
_cell_angle_beta 90.00
_cell_angle_gamma 90.00
_space_group_name_H-M_alt 'P 4/m m m'
_space_group_IT_number 123
_space_group_name_Hall '-P 4 2'
loop_
_atom_site_label
_atom_site_type_symbol
_atom_site_fract_x
_atom_site_fract_y
_atom_site_fract_z
Pm1 Pm 0.000 0.000 0.248
Th1 Th 0.500 0.500 0.000
I1 I 0.500 0.500 0.500
# * formation energy (no corrections): -333 meV/atom

***

# Hg2AuBr6, relaxed, DFT GGA-PBE
data_Hg2AuBr6
_cell_length_a 13.224
_cell_length_b 11.732
_cell_length_c 8.077
_cell_angle_alpha 90.00
_cell_angle_beta 90.10
_cell_angle_gamma 90.00
_space_group_name_H-M_alt 'C 1 2/c 1'
_space_group_IT_number 15
_space_group_name_Hall '-C 2yc'
loop_
_atom_site_label
_atom_site_type_symbol
_atom_site_fract_x
_atom_site_fract_y
_atom_site_fract_z
Hg1 Hg 0.184 0.069 0.295
Au1 Au 0.000 0.407 0.250
Br1 Br 0.113 0.098 0.607
Br2 Br 0.115 0.427 0.648
Br3 Br 0.129 0.263 0.131
# * formation energy (no corrections): -282 meV/atom
# * relative energy among the computed polymorphs: 0.020 eV/atom

***

# CaSm2Ir, relaxed, DFT GGA-PBE
data_CaSm2Ir
_cell_length_a 3.577
_cell_length_b 3.577
_cell_length_c 9.599
_cell_angle_alpha 90.00
_cell_angle_beta 90.00
_cell_angle_gamma 90.00
_space_group_name_H-M_alt 'P 4/m m m'
_space_group_IT_number 123
_space_group_name_Hall '-P 4 2'
loop_
_atom_site_label
_atom_site_type_symbol
_atom_site_fract_x
_atom_site_fract_y
_atom_site_fract_z
Ca1 Ca 0.000 0.000 0.000
Sm1 Sm 0.500 0.500 0.330
Ir1 Ir 0.000 0.000 0.500
# * relative energy among the computed polymorphs: 0.093 eV/atom
# * formation enthalpy at 0 K: -1.3 eV/f.u.

***

# NaCe3Cl8, relaxed, DFT GGA-PBE
data_NaCe3Cl8
_cell_length_a 8.0675
_cell_length_b 8.0675
_cell_length_c 20.8396
_cell_angle_alpha 90.00
_cell_angle_beta 90.00
_cell_angle_gamma 120.00
_space_group_name_H-M_alt 'R -3 m'
_space_group_IT_number 166
_space_group_name_Hall '-R 3 2"'
loop_
_atom_site_label
_atom_site_type_symbol
_atom_site_fract_x
_atom_site_fract_y
_atom_site_fract_z
Na1 Na 0.0000 0.0000 0.0000
Ce1 Ce 0.0000 0.5000 0.5000
Cl1 Cl 0.0000 0.0000 0.2481
Cl2 Cl 0.0139 0.5070 0.7534
# * formation energy (no corrections): -1984 meV/atom

***

# NaInSn, relaxed, DFT GGA-PBE
data_NaInSn
_cell_length_a 9.934
_cell_length_b 7.944
_cell_length_c 5.152
_cell_angle_alpha 90.00
_cell_angle_beta 121.07
_cell_angle_gamma 90.00
_space_group_name_H-M_alt 'C 1 m 1'
_space_group_IT_number 8
_space_group_name_Hall 'C -2y'
loop_
_atom_site_label
_atom_site_type_symbol
_atom_site_fract_x
_atom_site_fract_y
_atom_site_fract_z
Na1 Na 0.000 0.000 0.000
Na2 Na 0.112 0.500 0.111
In1 In 0.218 0.186 0.718
Sn1 Sn 0.394 0.190 0.393
# * formation enthalpy at 0 K: -0.4 eV/f.u.

***

# BaPRu3, relaxed, DFT GGA-PBE
data_BaPRu3
_cell_length_a 5.008
_cell_length_b 5.008
_cell_length_c 5.008
_cell_angle_alpha 90.00
_cell_angle_beta 90.00
_cell_angle_gamma 90.00
_space_group_name_H-M_alt 'P m -3 m'
_space_group_IT_number 221
_space_group_name_Hall '-P 4 2 3'
loop_
_atom_site_label
_atom_site_type_symbol
_atom_site_fract_x
_atom_site_fract_y
_atom_site_fract_z
Ba1 Ba 0.000 0.000 0.000
P1 P 0.500 0.500 0.500
Ru1 Ru 0.000 0.000 0.500
# * relative energy among the computed polymorphs: 2.674 eV/atom
# * formation enthalpy at 0 K: 14.5 eV/f.u.

***

# Nd8Si3GeI4, relaxed, DFT GGA-PBE
data_Nd8Si3GeI4
_cell_length_a 8.6740
_cell_length_b 8.6740
_cell_length_c 23.1659
_cell_angle_alpha 90.00
_cell_angle_beta 90.00
_cell_angle_gamma 120.00
_space_group_name_H-M_alt 'R -3 m'
_space_group_IT_number 166
_space_group_name_Hall '-R 3 2"'
loop_
_atom_site_label
_atom_site_type_symbol
_atom_site_fract_x
_atom_site_fract_y
_atom_site_fract_z
Nd1 Nd 0.0000 0.0000 0.2325
Nd2 Nd 0.0023 0.5011 0.7674
Si1 Si 0.0000 0.5000 0.5000
Ge1 Ge 0.0000 0.0000 0.5000
I1 I 0.0000 0.0000 0.0000
I2 I 0.0000 0.5000 0.0000
# * formation energy (no corrections): -970 meV/atom

***

# YHf2Mn2, relaxed, DFT GGA-PBE
data_YHf2Mn2
_cell_length_a 8.000
_cell_length_b 8.000
_cell_length_c 3.058
_cell_angle_alpha 90.00
_cell_angle_beta 90.00
_cell_angle_gamma 90.00
_space_group_name_H-M_alt 'P 4/m b m'
_space_group_IT_number 127
_space_group_name_Hall '-P 4 2ab'
loop_
_atom_site_label
_atom_site_type_symbol
_atom_site_fract_x
_atom_site_fract_y
_atom_site_fract_z
Y1 Y 0.000 0.000 0.000
Hf1 Hf 0.141 0.359 0.000
Mn1 Mn 0.144 0.644 0.500
# * relative energy among the computed polymorphs: 0.100 eV/atom
# * formation enthalpy at 0 K: 0.9 eV/f.u.

***

| no. | mass density (g/cm3) | uncorrected energy (eV per atom) |
| --- | --- | --- |
| 1 | 13.935 | -9.26 |
| 2 | 9.485 | -5.87 |
| 3 | 7.965 | -6.97 |
| 4 | 11.846 | -8.99 |
| 5 | 8.012 | -4.95 |
| 6 | 5.712 | -1.83 |
| 7 | 7.206 | -5.41 |
| 8 | 3.083 | -4.81 |
| 9 | 4.893 | -2.83 |
| 10 | 6.232 | -4.14 |
| 11 | 6.001 | -5.05 |
| 12 | 9.432 | -8.76 |